Tl2MoCl | PBE-GGA | optimized geometry

Structure (POSCAR):
```
Tl2MoCl
1.0
-0.988 -1.545 4.024
4.061 1.050 1.400
-2.136 9.945 5.724
Tl Mo Cl
4 2 2
Direct
0.625 0.125 0.250 Tl
0.125 0.625 0.250 Tl
0.375 0.375 0.750 Tl
0.875 0.875 0.750 Tl
0.000 0.000 0.000 Mo
0.750 0.250 0.500 Mo
0.500 0.500 0.000 Cl
0.250 0.750 0.500 Cl
```

Results
- symmetry = I-42d, No. 122
- distance to the lowest polymorph of the same formula (meV per atom) = 610
- E (eV per atom) = -3.61

Tl3MoCl7 | PBE-GGA | optimized geometry

Structure (POSCAR):
```
Tl3MoCl7
1.0
6.539 0.520 2.954
-0.997 6.483 2.954
-0.416 -0.525 8.006
Tl Mo Cl
3 1 7
Direct
0.783 0.222 0.479 Tl
0.508 0.508 0.957 Tl
0.222 0.783 0.479 Tl
0.011 0.011 0.967 Mo
0.165 0.165 0.106 Cl
0.691 0.052 0.183 Cl
0.974 0.329 0.743 Cl
0.052 0.691 0.183 Cl
0.536 0.536 0.582 Cl
0.329 0.974 0.743 Cl
0.854 0.854 0.829 Cl
```

Results
- symmetry = Cm, No. 8
- E (eV per atom) = -3.76